# NaTiBe2Os, optimized geometry, DFT PBE-GGA
data_NaTiBe2Os
_chemical_formula_sum 'Na1 Ti1 Be2 Os1'
_space_group_name_H-M_alt 'P 4/m m m'
_space_group_IT_number 123
_space_group_name_Hall '-P 4 2'
_cell_length_a 3.997
_cell_length_b 3.997
_cell_length_c 4.496
_cell_angle_alpha 90.00
_cell_angle_beta 90.00
_cell_angle_gamma 90.00
loop_
_atom_site_label
_atom_site_type_symbol
_atom_site_fract_x
_atom_site_fract_y
_atom_site_fract_z
_atom_site_occupancy
Na1 Na 0.000 0.000 0.000 1
Ti1 Ti 0.000 0.000 0.500 1
Be1 Be 0.000 0.500 0.000 1
Os1 Os 0.500 0.500 0.500 1
# formation energy = 1.8124 eV/atom

---

# SmDyBi, optimized geometry, DFT PBE-GGA
data_SmDyBi
_chemical_formula_sum 'Sm4 Dy4 Bi4'
_space_group_name_H-M_alt 'C 1 2/m 1'
_space_group_IT_number 12
_cell_length_a 12.126
_cell_length_b 4.197
_cell_length_c 8.569
_cell_angle_alpha 90.00
_cell_angle_beta 118.44
_cell_angle_gamma 90.00
loop_
_space_group_symop_operation_xyz
'x,y,z'
'-x,-y,-z'
'-x,y,-z'
'x,-y,z'
'x+1/2,y+1/2,z'
'-x+1/2,-y+1/2,-z'
'-x+1/2,y+1/2,-z'
'x+1/2,-y+1/2,z'
loop_
_atom_site_label
_atom_site_type_symbol
_atom_site_fract_x
_atom_site_fract_y
_atom_site_fract_z
_atom_site_occupancy
Sm1 Sm 0.064 0.000 0.335 1
Dy1 Dy 0.152 0.500 0.051 1
Bi1 Bi 0.161 0.500 0.676 1
# formation energy = -0.5063 eV/atom

---

# LaTb4Th5, optimized geometry, DFT PBE-GGA
data_LaTb4Th5
_chemical_formula_sum 'La2 Tb8 Th10'
_space_group_name_H-M_alt 'C 1 2/m 1'
_space_group_IT_number 12
_cell_length_a 22.590
_cell_length_b 3.554
_cell_length_c 8.401
_cell_angle_alpha 90.00
_cell_angle_beta 91.05
_cell_angle_gamma 90.00
loop_
_space_group_symop_operation_xyz
'x,y,z'
'-x,-y,-z'
'-x,y,-z'
'x,-y,z'
'x+1/2,y+1/2,z'
'-x+1/2,-y+1/2,-z'
'-x+1/2,y+1/2,-z'
'x+1/2,-y+1/2,z'
loop_
_atom_site_label
_atom_site_type_symbol
_atom_site_fract_x
_atom_site_fract_y
_atom_site_fract_z
_atom_site_occupancy
La1 La 0.000 0.000 0.000 1
Tb1 Tb 0.095 0.500 0.732 1
Tb2 Tb 0.179 0.000 0.007 1
Th1 Th 0.000 0.000 0.500 1
Th2 Th 0.114 0.500 0.325 1
Th3 Th 0.239 0.500 0.665 1
# formation energy = 0.2027 eV/atom

---

# InBrF, optimized geometry, DFT PBE-GGA
data_InBrF
_chemical_formula_sum 'In4 Br4 F4'
_space_group_name_H-M_alt 'C 1 m 1'
_space_group_IT_number 8
_cell_length_a 12.778
_cell_length_b 3.748
_cell_length_c 7.289
_cell_angle_alpha 90.00
_cell_angle_beta 112.95
_cell_angle_gamma 90.00
loop_
_space_group_symop_operation_xyz
'x,y,z'
'x,-y,z'
'x+1/2,y+1/2,z'
'x+1/2,-y+1/2,z'
loop_
_atom_site_label
_atom_site_type_symbol
_atom_site_fract_x
_atom_site_fract_y
_atom_site_fract_z
_atom_site_occupancy
In1 In 0.000 0.000 0.000 1
In2 In 0.142 0.500 0.566 1
Br1 Br 0.213 0.500 0.951 1
Br2 Br 0.290 0.000 0.528 1
F1 F 0.048 0.500 0.257 1
F2 F 0.050 0.000 0.559 1
# uncorrected formation energy = -143.2 kJ per mole of atoms

---

# In3SiRu, optimized geometry, DFT PBE-GGA
data_In3SiRu
_chemical_formula_sum 'In3 Si1 Ru1'
_space_group_name_H-M_alt 'P m -3 m'
_space_group_IT_number 221
_space_group_name_Hall '-P 4 2 3'
_cell_length_a 5.095
_cell_length_b 5.095
_cell_length_c 5.095
_cell_angle_alpha 90.00
_cell_angle_beta 90.00
_cell_angle_gamma 90.00
loop_
_atom_site_label
_atom_site_type_symbol
_atom_site_fract_x
_atom_site_fract_y
_atom_site_fract_z
_atom_site_occupancy
In1 In 0.000 0.000 0.500 1
Si1 Si 0.000 0.000 0.000 1
Ru1 Ru 0.500 0.500 0.500 1
# uncorrected formation energy = 108.0 kJ per mole of atoms

---

# RePdI2F, optimized geometry, DFT PBE-GGA
data_RePdI2F
_chemical_formula_sum 'Re1 Pd1 I2 F1'
_space_group_name_H-M_alt 'P 4/m m m'
_space_group_IT_number 123
_space_group_name_Hall '-P 4 2'
_cell_length_a 5.595
_cell_length_b 5.595
_cell_length_c 4.026
_cell_angle_alpha 90.00
_cell_angle_beta 90.00
_cell_angle_gamma 90.00
loop_
_atom_site_label
_atom_site_type_symbol
_atom_site_fract_x
_atom_site_fract_y
_atom_site_fract_z
_atom_site_occupancy
Re1 Re 0.000 0.000 0.000 1
Pd1 Pd 0.500 0.500 0.000 1
I1 I 0.000 0.500 0.500 1
F1 F 0.500 0.500 0.500 1
# uncorrected formation energy = 105.5 kJ per mole of atoms